# 1
Computed, not measured: a geometry-optimized LiAcGe2Au structure at the PBE-GGA level of DFT.

Structure (POSCAR):
```
LiAcGe2Au
1.0
-2.217 2.217 5.484
2.217 -2.217 5.484
2.217 2.217 -5.484
Li Ac Ge Au
1 1 2 1
direct
0.000 0.000 0.000
0.750 0.250 0.500
0.134 0.634 0.500
0.366 0.866 0.500
0.500 0.500 0.000
```

Summary:
Formation energy from the elements, eV per formula unit: -3.4
Magnetic moment, Bohr magnetons per cell: 0.00
Fermi-level density of states, states/eV/f.u.: 1.7
V, Å³/atom: 21.6
Symmetry: I-4m2
Uncorrected energy, eV per atom: -4.3775

# 2
Computed, not measured: a geometry-optimized KTaMn2 structure at the PBE-GGA level of DFT.

Structure (POSCAR):
```
KTaMn2
1.0
-1.397 2.685 5.452
1.397 -2.685 5.452
1.397 2.685 -5.452
K Ta Mn
1 1 2
direct
0.000 0.000 0.000
0.706 0.206 0.500
0.280 0.780 0.500
0.499 0.499 0.000
```

Summary:
Relative energy among the computed polymorphs, kJ/mol of formula units: 200
Formation energy from the elements, eV per formula unit: 4.2
Magnetic moment, Bohr magnetons per cell: 6.49
Fermi-level density of states, states/eV/f.u.: 4.1
V, Å³/atom: 20.5
Symmetry: Imm2
Uncorrected energy, eV per atom: -6.7609

# 3
Computed, not measured: a geometry-optimized MoPdPt2 structure at the PBE-GGA level of DFT.

Structure (POSCAR):
```
MoPdPt2
1.0
4.774 0.000 0.000
0.000 4.774 0.000
0.000 0.000 2.776
Mo Pd Pt
1 1 2
direct
0.000 0.000 0.000
0.500 0.500 0.000
0.000 0.500 0.500
0.500 0.000 0.500
```

Summary:
Relative energy among the computed polymorphs, kJ/mol of formula units: 46
Formation energy from the elements, eV per formula unit: 0.1
Magnetic moment, Bohr magnetons per cell: 0.00
Fermi-level density of states, states/eV/f.u.: 4.3
V, Å³/atom: 15.8
Symmetry: P4/mmm
Uncorrected energy, eV per atom: -7.0094

# 4
Computed, not measured: a geometry-optimized Ba5Cd4Ge structure at the PBE-GGA level of DFT.

Structure (POSCAR):
```
Ba5Cd4Ge
1.0
4.203 0.000 0.000
0.000 4.203 0.000
0.000 0.000 21.141
Ba Cd Ge
5 4 1
direct
0.000 0.000 0.000
0.000 0.000 0.204
0.000 0.000 0.412
0.000 0.000 0.588
0.000 0.000 0.796
0.500 0.500 0.101
0.500 0.500 0.306
0.500 0.500 0.694
0.500 0.500 0.899
0.500 0.500 0.500
```

Summary:
Formation energy from the elements, eV per formula unit: -3.3
Magnetic moment, Bohr magnetons per cell: 0.00
Fermi-level density of states, states/eV/f.u.: 7.4
V, Å³/atom: 37.3
Symmetry: P4/mmm
Uncorrected energy, eV per atom: -2.1228

# 5
Computed, not measured: a geometry-optimized PmCdInBi structure at the PBE-GGA level of DFT.

Structure (POSCAR):
```
PmCdInBi
1.0
0.000 3.846 3.846
3.846 0.000 3.846
3.846 3.846 0.000
Pm Cd In Bi
1 1 1 1
direct
0.000 0.000 0.000
0.500 0.500 0.500
0.250 0.250 0.250
0.750 0.750 0.750
```

Summary:
Relative energy among the computed polymorphs, kJ/mol of formula units: 92
Formation energy from the elements, eV per formula unit: -0.8
Magnetic moment, Bohr magnetons per cell: 0.00
Fermi-level density of states, states/eV/f.u.: 4.7
V, Å³/atom: 28.5
Symmetry: F-43m
Uncorrected energy, eV per atom: -3.2688

# 6
Computed, not measured: a geometry-optimized CePr4Y2 structure at the PBE-GGA level of DFT.

Structure (POSCAR):
```
CePr4Y2
1.0
3.169 -1.830 0.000
3.169 1.830 0.000
-0.001 0.000 20.776
Ce Pr Y
1 4 2
direct
0.000 0.000 0.000
0.332 0.332 0.427
0.334 0.334 0.710
0.665 0.665 0.141
0.669 0.669 0.858
0.000 0.000 0.569
0.998 0.998 0.284
```

Summary:
Formation energy from the elements, eV per formula unit: 0.4
Magnetic moment, Bohr magnetons per cell: 1.48
Fermi-level density of states, states/eV/f.u.: 13.5
V, Å³/atom: 34.4
Symmetry: Cm
Uncorrected energy, eV per atom: -5.3736

# 7
Computed, not measured: a geometry-optimized PuBr3N structure at the PBE-GGA level of DFT.

Structure (POSCAR):
```
PuBr3N
1.0
5.721 0.000 0.000
0.187 8.006 0.000
0.018 1.492 8.423
Pu Br N
2 6 2
direct
0.000 0.000 0.000
0.000 0.000 0.500
0.007 0.755 0.290
0.008 0.755 0.790
0.500 0.001 0.000
0.500 0.999 0.500
0.992 0.244 0.710
0.993 0.244 0.210
0.491 0.493 0.502
0.509 0.507 0.000
```

Summary:
Formation energy from raw total energies, kcal/mol of atoms: -3.92
Magnetic moment, Bohr magnetons per cell: 16.00
Fermi-level density of states, states/eV/f.u.: 12.1
V, Å³/atom: 38.6
Symmetry: P1
Uncorrected energy, eV per atom: -5.7051

# 8
Computed, not measured: a geometry-optimized Na2DySnS4 structure at the PBE-GGA level of DFT.

Structure (POSCAR):
```
Na2DySnS4
1.0
6.927 0.000 0.000
0.000 3.943 0.000
-2.274 0.000 6.697
Na Dy Sn S
2 1 1 4
direct
0.000 0.000 0.000
0.500 0.500 0.000
0.000 0.500 0.500
0.500 0.000 0.500
0.244 0.000 0.726
0.256 0.500 0.273
0.744 0.500 0.727
0.756 0.000 0.274
```

Summary:
Formation energy from raw total energies, kcal/mol of atoms: -29.23
Magnetic moment, Bohr magnetons per cell: 0.00
Fermi-level density of states, states/eV/f.u.: 2.3
V, Å³/atom: 22.9
Symmetry: P2/m
Uncorrected energy, eV per atom: -4.7364

# 9
Computed, not measured: a geometry-optimized Fe4Os5 structure at the PBE-GGA level of DFT.

Structure (POSCAR):
```
Fe4Os5
1.0
7.169 0.000 0.000
-3.584 6.208 0.000
0.000 0.000 5.238
Fe Os
8 10
direct
0.000 0.000 0.000
0.000 0.000 0.500
0.000 0.339 0.250
0.000 0.661 0.750
0.339 0.000 0.250
0.339 0.339 0.750
0.661 0.000 0.750
0.661 0.661 0.250
0.000 0.325 0.750
0.000 0.675 0.250
0.325 0.000 0.750
0.325 0.325 0.250
0.333 0.667 0.000
0.333 0.667 0.500
0.667 0.333 0.000
0.667 0.333 0.500
0.675 0.000 0.250
0.675 0.675 0.750
```

Summary:
Relative energy among the computed polymorphs, kJ/mol of formula units: 78
Formation energy from the elements, eV per formula unit: 2.2
Magnetic moment, Bohr magnetons per cell: 2.74
Fermi-level density of states, states/eV/f.u.: 9.7
V, Å³/atom: 13.0
Symmetry: P6_3/mcm
Uncorrected energy, eV per atom: -9.7546

# 10
Computed, not measured: a geometry-optimized Ac3SmPb structure at the PBE-GGA level of DFT.

Structure (POSCAR):
```
Ac3SmPb
1.0
6.862 -2.185 0.000
6.862 2.185 0.000
-0.571 0.000 13.200
Ac Sm Pb
6 2 2
direct
0.130 0.130 0.465
0.243 0.243 0.747
0.367 0.367 0.034
0.633 0.633 0.966
0.757 0.757 0.253
0.870 0.870 0.535
0.035 0.035 0.188
0.965 0.965 0.812
0.448 0.448 0.339
0.552 0.552 0.661
```

Summary:
Formation energy from the elements, eV per formula unit: -0.9
Magnetic moment, Bohr magnetons per cell: 0.00
Fermi-level density of states, states/eV/f.u.: 5.9
V, Å³/atom: 39.6
Symmetry: C2/m
Uncorrected energy, eV per atom: -4.3252

# 11
Computed, not measured: a geometry-optimized Si2SbIr structure at the PBE-GGA level of DFT.

Structure (POSCAR):
```
Si2SbIr
1.0
-2.886 2.886 5.603
2.886 -2.886 5.603
2.886 2.886 -5.603
Si Sb Ir
4 2 2
direct
0.071 0.625 0.946
0.375 0.321 0.446
0.679 0.125 0.054
0.875 0.929 0.554
0.250 0.750 0.500
0.500 0.500 0.000
0.000 0.000 0.000
0.750 0.250 0.500
```

Summary:
Formation energy from raw total energies, kcal/mol of atoms: 0.78
Magnetic moment, Bohr magnetons per cell: 0.00
Fermi-level density of states, states/eV/f.u.: 2.6
V, Å³/atom: 23.3
Symmetry: I-42d
Uncorrected energy, eV per atom: -5.9236

# 12
Computed, not measured: a geometry-optimized NaPdAuSCl structure at the PBE-GGA level of DFT.

Structure (POSCAR):
```
NaPdAuSCl
1.0
3.222 -1.849 0.000
3.222 1.849 0.000
-3.025 0.000 8.515
Na Pd Au S Cl
1 1 1 1 1
direct
0.000 0.000 0.000
0.831 0.831 0.631
0.082 0.082 0.432
0.555 0.555 0.759
0.421 0.421 0.194
```

Summary:
Relative energy among the computed polymorphs, kJ/mol of formula units: 42
Formation energy from raw total energies, kcal/mol of atoms: -12.02
Magnetic moment, Bohr magnetons per cell: 0.00
Fermi-level density of states, states/eV/f.u.: 2.5
V, Å³/atom: 20.3
Symmetry: Cm
Uncorrected energy, eV per atom: -3.6739

Q: What is the V in the twelfth record?
A: 20.3 Å³/atom

Q: What is the magnetic moment in the eleventh record?
A: 0.00 Bohr magnetons per cell